No. 1
The following is a PBE calculation of BaReMo2 after structural relaxation, from the Alexandria database.

a = 3.211 Å, b = 3.211 Å, c = 8.257 Å
α = 90.00°, β = 90.00°, γ = 90.00°
Fractional positions:
Ba  0.500  0.500  0.741
Mo  0.000  0.000  0.079
Mo  0.500  0.500  0.257
Re  0.000  0.000  0.423

Results
V	21.3	Å³/atom
total DFT energy (no corrections)	-33.0	eV per cell
ρ	10.05	g/cm3
magnetic moment	0.0	μB/f.u.
N(E_F)	6.029	states/eV/f.u.
energy of formation	769	meV/atom



No. 2
The following is a PBE calculation of Mg2CrRu after structural relaxation, from the Alexandria database.

a = 4.132 Å, b = 2.867 Å, c = 5.549 Å
α = 77.28°, β = 90.00°, γ = 90.00°
Site moments in Bohr magnetons follow the coordinates.
Fractional positions:
Cr  0.500  0.679  0.716  0.39
Mg  0.000  0.970  0.981  0.00
Mg  0.500  0.276  0.270  0.00
Ru  0.000  0.575  0.533  -0.01

Results
V	16.0	Å³/atom
total DFT energy (no corrections)	-21.2	eV per cell
ρ	5.22	g/cm3
magnetic moment	0.4	μB/f.u.
N(E_F)	3.464	states/eV/f.u.
energy of formation	233	meV/atom